1.
VASP calculation (GGA-PBE) on a relaxed AcDy2Os crystal.

abc: 3.877 3.877 10.978
angles: 79.83 79.83 60.00
Atoms (fractional coordinates):
Ac  0.000  0.000  0.000
Os  0.500  0.500  0.500
Dy  0.118  0.118  0.647
Dy  0.882  0.882  0.353

Properties
**D(E_F)**: 5.83 states/eV/f.u.
**Relative energy among the computed polymorphs**: 305.4 meV per atom

***

2.
VASP calculation (GGA-PBE) on a relaxed AcDy3Os crystal.

abc: 5.501 5.501 5.501
angles: 90.00 90.00 90.00
Atoms (fractional coordinates):
Ac  0.500  0.500  0.500
Os  0.000  0.000  0.000
Dy  0.000  0.500  0.000
Dy  0.000  0.000  0.500
Dy  0.500  0.000  0.000

Properties
**D(E_F)**: 6.75 states/eV/f.u.

***

3.
VASP calculation (GGA-PBE) on a relaxed AcDy2Os crystal.

abc: 3.494 3.494 9.526
angles: 90.00 90.00 90.00
Atoms (fractional coordinates):
Ac  0.500  0.500  0.500
Os  0.500  0.500  0.000
Dy  0.000  0.000  0.830
Dy  0.000  0.000  0.170

Properties
**D(E_F)**: 2.91 states/eV/f.u.
**Relative energy among the computed polymorphs**: 0.0 meV per atom

***

4.
VASP calculation (GGA-PBE) on a relaxed AcDyZnOs crystal.

abc: 5.134 5.134 5.134
angles: 60.00 60.00 60.00
Atoms (fractional coordinates):
Ac  0.250  0.250  0.250
Os  0.000  0.000  0.000
Zn  0.500  0.500  0.500
Dy  0.750  0.750  0.750

Properties
**D(E_F)**: 4.28 states/eV/f.u.

***

5.
VASP calculation (GGA-PBE) on a relaxed AcDyP crystal.

abc: 6.917 4.073 4.073
angles: 120.00 90.00 90.00
Site moments in Bohr magnetons follow the coordinates.
Atoms (fractional coordinates):
P  0.023  0.000  0.000  -0.01
Ac  0.746  0.667  0.333  0.05
Dy  0.231  0.333  0.667  0.19

Properties
**D(E_F)**: 3.56 states/eV/f.u.

***

6.
VASP calculation (GGA-PBE) on a relaxed AcDy2P crystal.

abc: 3.818 3.818 10.818
angles: 79.84 79.84 60.00
Atoms (fractional coordinates):
P  0.500  0.500  0.500
Ac  0.000  0.000  0.000
Dy  0.116  0.116  0.651
Dy  0.884  0.884  0.349

Properties
**D(E_F)**: 5.19 states/eV/f.u.

***

7.
VASP calculation (GGA-PBE) on a relaxed Ac2DyPaP4 crystal.

abc: 4.187 7.202 7.359
angles: 109.20 90.00 90.00
Atoms (fractional coordinates):
Ac  0.500  0.000  0.500
Ac  0.000  0.500  0.500
Dy  0.000  0.000  0.000
Pa  0.500  0.500  0.000
P  0.500  0.247  0.220
P  0.500  0.753  0.780
P  0.000  0.265  0.782
P  0.000  0.735  0.218

Properties
**D(E_F)**: 4.64 states/eV/f.u.

***

8.
VASP calculation (GGA-PBE) on a relaxed Ac2DyP3Pd12 crystal.

abc: 7.562 7.562 7.562
angles: 69.87 69.87 69.87
Atoms (fractional coordinates):
Ac  0.606  0.606  0.606
Ac  0.394  0.394  0.394
Dy  0.000  0.000  0.000
P  0.500  0.000  0.000
P  0.000  0.500  0.000
P  0.000  0.000  0.500
Pd  0.288  0.288  0.869
Pd  0.856  0.856  0.387
Pd  0.387  0.856  0.856
Pd  0.869  0.288  0.288
Pd  0.856  0.387  0.856
Pd  0.288  0.869  0.288
Pd  0.712  0.712  0.131
Pd  0.144  0.144  0.613
Pd  0.613  0.144  0.144
Pd  0.131  0.712  0.712
Pd  0.144  0.613  0.144
Pd  0.712  0.131  0.712

Properties
**D(E_F)**: 6.34 states/eV/f.u.

***

The records above give, respectively, formation energy values of 0.218, -0.040, -0.088, -0.051, -0.870, -0.584, -1.432, -0.511 eV/atom.
The records above give, respectively, E_tot values of -23.67, -29.34, -24.89, -21.42, -16.73, -21.06, -55.41, -100.56 eV per formula unit.